The following is a DFT calculation (PBE-GGA) of a relaxed structure of CuSb2Se.

Values from the calculation:
final energy = -15.76 eV per cell
raw formation energy = 0.06 eV per formula unit
SG = R3m (160)

abc: 7.250 7.250 7.250
angles: 31.91 31.91 31.91
Element x y z (fractional)
Cu (0.000, 0.000, 0.000)
Sb (0.514, 0.514, 0.514)
Sb (0.757, 0.757, 0.757)
Se (0.288, 0.288, 0.288)